A geometry-optimized SrPrRhO4 structure. Source: Alexandria via LeMat-Bulk, functional GGA-PBE.

Lattice parameters (Å, degrees): 3.9848 3.9848 12.4702 90.00 90.00 90.00
With the nearest neighbours (Å) after each atom.
Space group I4mm (No. 107)
Inequivalent atoms, fractional coordinates:
Sr 0.0000 0.0000 0.0000 [2 per cell]  1 O 2.40
Pr 0.0000 0.0000 0.7180 [2 per cell]  5 O 2.32-2.51
Rh 0.0000 0.0000 0.3640 [2 per cell]  6 O 2.01-2.13
O 0.0000 0.0000 0.1928 [2 per cell]  1 Rh 2.13
O 0.0000 0.0000 0.5322 [2 per cell]  1 Rh 2.10, 1 Pr 2.32
O 0.0000 0.5000 0.3410 [4 per cell]  2 Rh 2.01

Calculated values
Volume: 99.0 Å³/f.u.
Magnetization: 0.000 μB per atom
Formation energy without anion corrections: -2204 meV/atom
Calculated total energy: -49.07 eV/f.u.

A geometry-optimized Tm12Al5Cd3 structure. Source: Alexandria via LeMat-Bulk, functional GGA-PBE.

Lattice parameters (Å, degrees): 17.3375 17.3375 17.3375 90.00 90.00 90.00
With the nearest neighbours (Å) after each atom.
Space group Ia-3d (No. 230)
Inequivalent atoms, fractional coordinates:
Tm 0.0174 0.0724 0.6472 [96 per cell]  2 Al 2.86-2.87, 1 Cd 3.12
Al 0.0000 0.0000 0.0000 [16 per cell]  6 Tm 2.86
Al 0.0000 0.2500 0.3750 [24 per cell]  4 Tm 2.87
Cd 0.0000 0.2500 0.1250 [24 per cell]  8 Tm 3.12-3.29

Calculated values
ΔH_f (0 K): 0.389 eV/atom
Volume: 651.4 Å³/f.u.
Magnetization: 0.000 μB per atom
Calculated total energy: -67.33 eV/f.u.

A geometry-optimized SrAgSb2 structure. Source: Alexandria via LeMat-Bulk, functional GGA-PBE.

Lattice parameters (Å, degrees): 4.0734 4.0734 6.7868 90.00 90.00 90.00
With the nearest neighbours (Å) after each atom.
Space group P4mm (No. 99)
Inequivalent atoms, fractional coordinates:
Sr 0.0000 0.0000 0.0000 [1 per cell]  6 Sb 3.34-3.44, 4 Ag 3.56
Ag 0.5000 0.5000 0.3087 [1 per cell]  5 Sb 2.90-3.14
Sb 0.0000 0.0000 0.4928 [1 per cell]  4 Ag 3.14, 4 Sb 3.32, 2 Sr 3.34-3.44
Sb 0.5000 0.5000 0.7362 [1 per cell]  1 Ag 2.90

Calculated values
Volume: 112.6 Å³/f.u.
Magnetization: 0.000 μB per atom
Formation energy without anion corrections: -226 meV/atom
Calculated total energy: -13.68 eV/f.u.

A geometry-optimized Ac2AgGe4Au3 structure. Source: Alexandria via LeMat-Bulk, functional GGA-PBE.

Lattice parameters (Å, degrees): 4.5867 4.5867 10.6974 90.00 90.00 90.00
With the nearest neighbours (Å) after each atom.
Space group P-4m2 (No. 115)
Inequivalent atoms, fractional coordinates:
Ac 0.0000 0.5000 0.2496 [2 per cell]  8 Ge 3.48-3.52, 6 Au 3.50-3.53, 2 Ag 3.53
Ag 0.0000 0.0000 0.5000 [1 per cell]  4 Ge 2.70
Ge 0.0000 0.0000 0.0000 [1 per cell]  4 Au 2.67
Ge 0.0000 0.5000 0.6325 [2 per cell]  3 Au 2.57-2.70, 2 Ag 2.70
Ge 0.5000 0.5000 0.0000 [1 per cell]  4 Au 2.67
Au 0.0000 0.5000 0.8727 [2 per cell]  5 Ge 2.57-2.67
Au 0.5000 0.5000 0.5000 [1 per cell]  4 Ge 2.70

Calculated values
ΔH_f (0 K): -0.572 eV/atom
Volume: 225.1 Å³/f.u.
Magnetization: 0.000 μB per atom
Calculated total energy: -45.09 eV/f.u.